Record 1
PBE LiTlCd2Br6, optimized geometry; crystal system = monoclinic; SG = No. 15
1.0
7.254 -6.894 0.000
7.254 6.894 0.000
-2.917 0.000 7.540
Li Tl Cd Br
2 2 4 12
direct
0.197 0.803 0.750 Li
0.803 0.197 0.250 Li
0.130 0.870 0.250 Tl
0.870 0.130 0.750 Tl
0.234 0.387 0.313 Cd
0.387 0.234 0.813 Cd
0.613 0.766 0.187 Cd
0.766 0.613 0.687 Cd
0.044 0.186 0.174 Br
0.133 0.623 0.453 Br
0.186 0.044 0.674 Br
0.300 0.444 0.034 Br
0.377 0.867 0.047 Br
0.444 0.300 0.534 Br
0.556 0.700 0.466 Br
0.623 0.133 0.953 Br
0.700 0.556 0.966 Br
0.814 0.956 0.326 Br
0.867 0.377 0.547 Br
0.956 0.814 0.826 Br

---

Record 2
PBE LiYCdBr6, optimized geometry; crystal system = trigonal; SG = No. 163
1.0
7.032 0.000 0.000
-3.516 6.090 0.000
0.000 0.000 12.810
Li Y Cd Br
2 2 2 12
direct
0.000 0.000 0.000 Li
0.000 0.000 0.500 Li
0.333 0.667 0.250 Y
0.667 0.333 0.750 Y
0.333 0.667 0.750 Cd
0.667 0.333 0.250 Cd
0.000 0.340 0.125 Br
0.000 0.340 0.625 Br
0.000 0.660 0.375 Br
0.000 0.660 0.875 Br
0.340 0.000 0.125 Br
0.340 0.000 0.625 Br
0.340 0.340 0.375 Br
0.340 0.340 0.875 Br
0.660 0.000 0.375 Br
0.660 0.000 0.875 Br
0.660 0.660 0.125 Br
0.660 0.660 0.625 Br

---

Record 3
PBE Mg2CdBr, optimized geometry; E above lowest polymorph = 195 meV per atom; crystal system = orthorhombic; SG = No. 65
1.0
3.604 -4.092 0.000
3.604 4.092 0.000
0.000 0.000 3.269
Mg Cd Br
2 1 1
direct
0.000 0.500 0.000 Mg
0.500 0.000 0.000 Mg
0.000 0.000 0.500 Cd
0.500 0.500 0.500 Br

---

Record 4
PBE Mg2CdBr, optimized geometry; E above lowest polymorph = 0 meV per atom; crystal system = monoclinic; SG = No. 10
1.0
3.477 0.000 0.000
0.000 3.448 0.000
-0.018 0.000 8.086
Mg Cd Br
2 1 1
direct
0.003 0.000 0.225 Mg
0.997 0.000 0.775 Mg
0.500 0.500 0.000 Cd
0.000 0.500 0.500 Br

---

Record 5
PBE MgCdBr2, optimized geometry; E above lowest polymorph = 606 meV per atom; crystal system = cubic; SG = No. 225
1.0
0.000 3.727 3.727
3.727 0.000 3.727
3.727 3.727 0.000
Mg Cd Br
1 1 2
direct
0.000 0.000 0.000 Mg
0.500 0.500 0.500 Cd
0.250 0.250 0.250 Br
0.750 0.750 0.750 Br

---

Record 6
PBE MgCd2Br, optimized geometry; E above lowest polymorph = 219 meV per atom; crystal system = tetragonal; SG = No. 123
1.0
4.179 0.000 0.000
0.000 4.179 0.000
0.000 0.000 6.242
Mg Cd Br
1 2 1
direct
0.000 0.000 0.000 Mg
0.000 0.500 0.500 Cd
0.500 0.000 0.500 Cd
0.500 0.500 0.000 Br

---

Record 7
PBE Mg2CdBr, optimized geometry; E above lowest polymorph = 91 meV per atom; crystal system = tetragonal; SG = No. 123
1.0
3.406 0.000 0.000
0.000 3.406 0.000
0.000 0.000 8.064
Mg Cd Br
2 1 1
direct
0.000 0.000 0.234 Mg
0.000 0.000 0.766 Mg
0.500 0.500 0.000 Cd
0.500 0.500 0.500 Br

---

Record 8
PBE Mg2CdBr6, optimized geometry; E above lowest polymorph = 72 meV per atom; crystal system = monoclinic; SG = No. 12
1.0
6.736 -2.083 0.000
6.736 2.083 0.000
-1.216 0.000 11.127
Mg Cd Br
2 1 6
direct
0.217 0.217 0.240 Mg
0.783 0.783 0.760 Mg
0.500 0.500 0.500 Cd
0.133 0.133 0.437 Br
0.339 0.339 0.877 Br
0.405 0.405 0.273 Br
0.595 0.595 0.727 Br
0.661 0.661 0.123 Br
0.867 0.867 0.563 Br

---

Record 9
PBE MgCdBr2, optimized geometry; E above lowest polymorph = 590 meV per atom; crystal system = trigonal; SG = No. 166
1.0
1.952 1.127 10.234
-1.952 1.127 10.234
0.000 -2.254 10.234
Mg Cd Br
1 1 2
direct
0.000 0.000 0.000 Mg
0.500 0.500 0.500 Cd
0.112 0.112 0.112 Br
0.888 0.888 0.888 Br

---

Record 10
PBE MgCdBr2, optimized geometry; E above lowest polymorph = 632 meV per atom; crystal system = tetragonal; SG = No. 123
1.0
5.221 0.000 0.000
0.000 5.221 0.000
0.000 0.000 3.809
Mg Cd Br
1 1 2
direct
0.000 0.000 0.000 Mg
0.500 0.500 0.000 Cd
0.000 0.500 0.500 Br
0.500 0.000 0.500 Br

---

Record 11
PBE MgCd2Br, optimized geometry; E above lowest polymorph = 184 meV per atom; crystal system = tetragonal; SG = No. 122
1.0
-4.265 4.265 2.966
4.265 -4.265 2.966
4.265 4.265 -2.966
Mg Cd Br
2 4 2
direct
0.000 0.000 0.000 Mg
0.750 0.250 0.500 Mg
0.109 0.625 0.984 Cd
0.375 0.359 0.484 Cd
0.641 0.125 0.016 Cd
0.875 0.891 0.516 Cd
0.250 0.750 0.500 Br
0.500 0.500 0.000 Br

---

Record 12
PBE MgCdBr2, optimized geometry; E above lowest polymorph = 411 meV per atom; crystal system = tetragonal; SG = No. 99
1.0
3.506 0.000 0.000
0.000 3.506 0.000
0.000 0.000 8.811
Mg Cd Br
1 1 2
direct
0.000 0.000 0.000 Mg
0.500 0.500 0.739 Cd
0.000 0.000 0.550 Br
0.500 0.500 0.166 Br

---

Record 13
PBE MgCdBr2, optimized geometry; E above lowest polymorph = 805 meV per atom; crystal system = cubic; SG = No. 216
1.0
0.000 3.768 3.768
3.768 0.000 3.768
3.768 3.768 0.000
Mg Cd Br
1 1 2
direct
0.000 0.000 0.000 Mg
0.750 0.750 0.750 Cd
0.250 0.250 0.250 Br
0.500 0.500 0.500 Br

---

Record 14
PBE MgCdBr3, optimized geometry; E above lowest polymorph = 0 meV per atom; crystal system = cubic; SG = No. 221
1.0
5.271 0.000 0.000
0.000 5.271 0.000
0.000 0.000 5.271
Mg Cd Br
1 1 3
direct
0.000 0.000 0.000 Mg
0.500 0.500 0.500 Cd
0.000 0.000 0.500 Br
0.000 0.500 0.000 Br
0.500 0.000 0.000 Br

---

Record 15
PBE MgCdBr4, optimized geometry; E above lowest polymorph = 0 meV per atom; crystal system = monoclinic; SG = No. 12
1.0
7.738 -1.978 0.000
7.738 1.978 0.000
-3.017 0.000 6.214
Mg Cd Br
1 1 4
direct
0.000 0.000 0.000 Mg
0.500 0.500 0.500 Cd
0.112 0.112 0.431 Br
0.391 0.391 0.049 Br
0.609 0.609 0.951 Br
0.888 0.888 0.569 Br

---

Record 16
PBE Mg5CdBr12, optimized geometry; crystal system = monoclinic; SG = No. 12
1.0
3.381 -5.860 0.000
3.381 5.860 0.000
-0.030 0.000 14.302
Mg Cd Br
5 1 12
direct
0.000 0.000 0.000 Mg
0.167 0.833 0.500 Mg
0.333 0.667 0.000 Mg
0.667 0.333 0.000 Mg
0.833 0.167 0.500 Mg
0.500 0.500 0.500 Cd
0.001 0.667 0.105 Br
0.154 0.500 0.392 Br
0.155 0.155 0.608 Br
0.333 0.999 0.895 Br
0.334 0.334 0.105 Br
0.500 0.154 0.392 Br
0.500 0.846 0.608 Br
0.666 0.666 0.895 Br
0.667 0.001 0.105 Br
0.845 0.845 0.392 Br
0.846 0.500 0.608 Br
0.999 0.333 0.895 Br

---

Record 17
PBE Mg2CdBr, optimized geometry; E above lowest polymorph = 183 meV per atom; crystal system = orthorhombic; SG = No. 71
1.0
-1.717 3.128 4.738
1.717 -3.128 4.738
1.717 3.128 -4.738
Mg Cd Br
2 1 1
direct
0.240 0.240 0.000 Mg
0.760 0.760 0.000 Mg
0.500 0.000 0.500 Cd
0.000 0.500 0.500 Br

---

Record 18
PBE MgCd2Br, optimized geometry; E above lowest polymorph = 419 meV per atom; crystal system = cubic; SG = No. 225
1.0
0.000 3.832 3.832
3.832 0.000 3.832
3.832 3.832 0.000
Mg Cd Br
1 2 1
direct
0.000 0.000 0.000 Mg
0.250 0.250 0.250 Cd
0.750 0.750 0.750 Cd
0.500 0.500 0.500 Br

---

Record 19
PBE MgCdBr2, optimized geometry; E above lowest polymorph = 587 meV per atom; crystal system = orthorhombic; SG = No. 47
1.0
4.148 0.000 0.000
0.000 4.224 0.000
0.000 0.000 6.791
Mg Cd Br
1 1 2
direct
0.000 0.000 0.000 Mg
0.500 0.000 0.500 Cd
0.000 0.500 0.500 Br
0.500 0.500 0.000 Br

---

Record 20
PBE MgCd3Br8, optimized geometry; crystal system = monoclinic; SG = No. 12
1.0
6.957 -4.011 0.000
6.957 4.011 0.000
-4.726 0.000 6.950
Mg Cd Br
1 3 8
direct
0.000 0.000 0.000 Mg
0.000 0.500 0.000 Cd
0.500 0.000 0.000 Cd
0.500 0.500 0.000 Cd
0.237 0.237 0.223 Br
0.237 0.754 0.223 Br
0.246 0.763 0.777 Br
0.256 0.256 0.772 Br
0.744 0.744 0.228 Br
0.754 0.237 0.223 Br
0.763 0.246 0.777 Br
0.763 0.763 0.777 Br

---

Values for total magnetization, μB/cell, ordered as above
0.000; 0.000; 0.000; 0.000; 0.000; 0.000; 0.000; 0.000; 0.000; 0.000; 0.000; 0.000; 0.000; 0.327; 0.000; 0.000; 0.000; 0.000; 0.000; 0.000
Values for ΔE_f (raw), meV/atom, ordered as above
-967.5; -1419.6; -221.7; -417.1; -367.6; -161.8; -326.5; -1199.6; -384.0; -342.1; -196.6; -563.1; -169.4; -802.2; -1165.9; -1377.7; -233.8; 38.9; -387.4; -1011.1